(1)
# SiPPdCl2

Crystalline SiPPdCl2 at its relaxed geometry (GGA-PBE, the Alexandria database).

a b c (Å): 4.524 4.524 4.883
angles (deg): 90.00 90.00 90.00
Element x y z (fractional)
Si1 0.000 0.000 0.000
P1 0.000 0.000 0.500
Pd1 0.500 0.500 0.500
Cl1 0.000 0.500 0.000
Cl2 0.500 0.000 0.000

Calculated values
**Energy above the most stable polymorph in this dataset**: 0.0 kJ/mol of atoms
**Uncorrected formation energy**: 0.410 eV per atom


(2)
# Li2PaAl

Crystalline Li2PaAl at its relaxed geometry (GGA-PBE, the Alexandria database).

a b c (Å): 2.958 2.958 32.510
angles (deg): 90.00 90.00 120.00
Element x y z (fractional)
Li1 0.000 0.000 0.095
Li2 0.000 0.000 0.905
Li3 0.333 0.667 0.572
Li4 0.333 0.667 0.761
Li5 0.667 0.333 0.239
Li6 0.667 0.333 0.428
Pa1 0.000 0.000 0.000
Pa2 0.333 0.667 0.667
Pa3 0.667 0.333 0.333
Al1 0.000 0.000 0.500
Al2 0.333 0.667 0.167
Al3 0.667 0.333 0.833


(3)
# PmPr2Y5Tm

Crystalline PmPr2Y5Tm at its relaxed geometry (GGA-PBE, the Alexandria database).

a b c (Å): 9.989 9.989 9.989
angles (deg): 128.05 128.05 76.54
Element x y z (fractional)
Pm1 0.250 0.250 0.000
Pm2 0.750 0.750 0.000
Pr1 0.118 0.618 0.735
Pr2 0.382 0.118 0.500
Pr3 0.618 0.882 0.500
Pr4 0.882 0.382 0.265
Y1 0.000 0.000 0.000
Y2 0.072 0.150 0.500
Y3 0.150 0.650 0.079
Y4 0.350 0.428 0.500
Y5 0.428 0.928 0.079
Y6 0.500 0.500 0.000
Y7 0.572 0.072 0.921
Y8 0.650 0.572 0.500
Y9 0.850 0.350 0.921
Y10 0.928 0.850 0.500
Tm1 0.250 0.750 0.500
Tm2 0.750 0.250 0.500


| no. | calculated total energy (eV per atom) |
| --- | --- |
| 1 | -3.534 |
| 2 | -4.074 |
| 3 | -5.423 |